[1]
{
  "formula": "Cu3Ir",
  "functional": "meta-GGA SCAN",
  "state": "PBEsol geometry",
  "cell": [[2.6047, 0.0000, 0.0000], [-1.3024, 2.2558, 0.0000], [0.0000, 0.0000, 8.3753]],
  "species": ["Ir", "Cu", "Cu", "Cu"],
  "frac_coords": [[0.0000, 0.0000, 0.5000], [0.3333, 0.6667, 0.2402], [0.3333, 0.6667, 0.7598], [0.0000, 0.0000, 0.0000]],
  "spacegroup": "P-6m2",
  "total_magnetization_mub_per_atom": 0.000,
  "ef_mev_per_atom": 75
}



[2]
{
  "formula": "Cu3Ir",
  "functional": "meta-GGA SCAN",
  "state": "PBEsol geometry",
  "cell": [[-2.3738, -1.0815, -0.0579], [-0.4774, -2.1726, 1.3638], [-3.2073, 3.5188, 6.9790]],
  "species": ["Ir", "Cu", "Cu", "Cu"],
  "frac_coords": [[0.5000, 0.5000, 0.5000], [0.7468, 0.7468, 0.7597], [0.0000, 0.0000, 0.0000], [0.2532, 0.2532, 0.2403]],
  "spacegroup": "R-3m",
  "total_magnetization_mub_per_atom": 0.000,
  "ef_mev_per_atom": 47
}



[3]
{
  "formula": "Cu5Ir",
  "functional": "meta-GGA SCAN",
  "state": "PBEsol geometry",
  "cell": [[2.5539, 0.0000, 0.0000], [-1.2769, 4.7617, 0.0003], [0.0000, -1.6530, 5.8689]],
  "species": ["Cu", "Cu", "Cu", "Cu", "Cu", "Ir"],
  "frac_coords": [[0.9997, 0.9994, 0.0039], [0.3901, 0.7802, 0.2832], [0.6663, 0.3326, 0.3377], [0.0531, 0.1061, 0.6039], [0.3362, 0.6724, 0.6627], [0.7214, 0.4427, 0.9419]],
  "spacegroup": "Cm",
  "total_magnetization_mub_per_atom": 0.000,
  "ef_mev_per_atom": 60
}



[4]
{
  "formula": "Cu3Ir",
  "functional": "meta-GGA SCAN",
  "state": "PBEsol geometry",
  "cell": [[-0.6002, 2.4996, -0.4730], [-2.8874, -0.0606, 3.3541], [3.9203, -0.0090, 2.1961]],
  "species": ["Ir", "Cu", "Cu", "Cu"],
  "frac_coords": [[0.0000, 0.5000, 0.0000], [0.2483, 0.2460, 0.4961], [0.7518, 0.7540, 0.5039], [0.5000, 0.0000, 0.0000]],
  "spacegroup": "C2/m",
  "total_magnetization_mub_per_atom": 0.000,
  "ef_mev_per_atom": 83
}



[5]
{
  "formula": "K2CuIr",
  "functional": "meta-GGA SCAN",
  "state": "PBEsol geometry",
  "cell": [[-2.5263, -0.3591, -0.5005], [1.2381, -0.5493, -5.8551], [0.7028, -5.9268, 0.7046]],
  "species": ["Cu", "Ir", "K", "K"],
  "frac_coords": [[0.5000, 0.5000, 0.5000], [0.5000, 0.0000, 0.0000], [0.0000, 0.0000, 0.5000], [0.0000, 0.5000, 0.0000]],
  "spacegroup": "P4/mmm",
  "total_magnetization_mub_per_atom": 0.000,
  "ef_mev_per_atom": 801
}



[6]
{
  "formula": "K2CuIr",
  "functional": "meta-GGA SCAN",
  "state": "PBEsol geometry",
  "cell": [[-2.5871, -1.2656, -0.3842], [1.1897, -1.3848, -3.4496], [3.2741, -8.0118, 4.3454]],
  "species": ["Cu", "Ir", "K", "K"],
  "frac_coords": [[0.0000, 0.0000, 0.5986], [0.5000, 0.5000, 0.6536], [0.0000, 0.0000, 0.9010], [0.5000, 0.5000, 0.3468]],
  "spacegroup": "Pmm2",
  "total_magnetization_mub_per_atom": 0.009,
  "ef_mev_per_atom": 456
}



Which formula does entry 2 have?
Cu3Ir



Which formula does entry 5 have?
K2CuIr